DFT (GGA-PBE) results for a geometry-optimized Ho4CSeS2 structure.

The space group is P2/m (No. 10) and the conventional cell measures 6.664, 3.816 and 6.836 Å, with angles of 90.00, 108.98 and 90.00 degrees. Symmetry generates all atoms from Ho at (0.222, 0.000, 0.215), Ho at (0.238, 0.500, 0.782), C at (0.000, 0.500, 0.000), Se at (0.000, 0.000, 0.500), S at (0.500, 0.000, 0.000) and S at (0.500, 0.500, 0.500).

The calculation puts the spin magnetization at 0.00 μB per formula unit. The value obtained for the energy is -6.497 eV per atom. The crystal system is monoclinic.